Here is an optimized crystal structure of Ga2SnRu2 from the Alexandria database. Energies are from PBE.

crystal system: tetragonal
density of states at the Fermi level: 4.43 states/eV/f.u.
symmetry: No. 127
magnetization: 0.00 μB per atom
raw total energy: -0.2158 Ha/atom
relative energy among the computed polymorphs: 0 kJ/mol of formula units
calculated volume: 83.31 Å³/f.u.
E_form: -149 meV per atom

extended XYZ file:
```
10
Lattice="-2.1196 3.2634 6.0336 3.2269 -5.0984 3.8912 2.7252 1.7381 0.0173" Properties=species:S:1:pos:R:3 pbc="T T T"
Ru 1.9970 -3.1849 5.3838
Ga 3.1331 -1.9404 3.3618
Ru -0.8897 1.3499 4.5409
Sn 0.0000 0.0000 0.0000
Ru 0.3149 -0.5699 7.6502
Ru 0.7924 -1.2651 2.2746
Ga 0.6994 1.8435 6.5803
Ga 1.0611 1.3149 2.7216
Sn 0.5536 -0.9175 4.9624
Ga 2.7714 -1.4117 7.2205
```

---

Here is an optimized crystal structure of Nd3Ga7Pt4 from the Alexandria database. Energies are from PBE.

crystal system: monoclinic
density of states at the Fermi level: 6.88 states/eV/f.u.
symmetry: No. 12
magnetization: 0.00 μB per atom
raw total energy: -0.1891 Ha/atom
calculated volume: 272.36 Å³/f.u.
E_form: -884 meV per atom

extended XYZ file:
```
14
Lattice="4.2509 0.0000 1.0724 1.5355 7.6745 2.8747 0.1269 0.2385 8.4581" Properties=species:S:1:pos:R:3 pbc="T T T"
Ga 0.0000 0.0000 0.0000
Pt 0.7774 0.9704 5.8796
Pt 2.3721 4.2190 8.5195
Pt 3.5411 3.6941 3.8857
Pt 5.1358 6.9427 6.5256
Nd 1.6303 1.4565 2.4989
Ga 3.3571 6.1105 4.6152
Ga 3.2193 1.4808 5.1616
Ga 2.6940 6.4323 7.2436
Ga 4.2906 3.1824 9.8761
Ga 1.6227 4.7306 2.5291
Ga 2.5562 1.8026 7.7901
Nd 4.2830 6.4566 9.9063
Nd 0.8312 3.9565 5.6664
```

---

Here is an optimized crystal structure of KCo2Pb from the Alexandria database. Energies are from PBE.

crystal system: orthorhombic
density of states at the Fermi level: 3.43 states/eV/f.u.
symmetry: No. 44
magnetization: 0.84 μB per atom
raw total energy: -0.1498 Ha/atom
relative energy among the computed polymorphs: 125 kJ/mol of formula units
calculated volume: 89.21 Å³/f.u.
E_form: 677 meV per atom

extended XYZ file:
```
4
Lattice="-0.8283 5.2358 -3.0422 -5.3695 2.8627 0.5727 5.2037 -2.0681 2.4493" Properties=species:S:1:pos:R:3 pbc="T T T"
K -3.1477 4.1130 -1.2542
Co -5.9986 7.8382 -2.3902
Co 0.2296 4.1425 -1.0767
Pb -1.3741 2.0845 0.9965
```

---

Which of these has the highest density of states at the Fermi level?
Nd3Ga7Pt4

---

Copy entry 3 word for word.
Here is an optimized crystal structure of KCo2Pb from the Alexandria database. Energies are from PBE.

crystal system: orthorhombic
density of states at the Fermi level: 3.43 states/eV/f.u.
symmetry: No. 44
magnetization: 0.84 μB per atom
raw total energy: -0.1498 Ha/atom
relative energy among the computed polymorphs: 125 kJ/mol of formula units
calculated volume: 89.21 Å³/f.u.
E_form: 677 meV per atom

extended XYZ file:
```
4
Lattice="-0.8283 5.2358 -3.0422 -5.3695 2.8627 0.5727 5.2037 -2.0681 2.4493" Properties=species:S:1:pos:R:3 pbc="T T T"
K -3.1477 4.1130 -1.2542
Co -5.9986 7.8382 -2.3902
Co 0.2296 4.1425 -1.0767
Pb -1.3741 2.0845 0.9965
```